[1]
Entry from Alexandria via LeMat-Bulk: a relaxed structure of GdEr2Sn (PBE).

Lattice parameters (Å, degrees): 4.0943 4.0943 6.7931 90.00 90.00 90.00
Closest atoms and distances in Å follow each position.
Fractional positions:
Gd (0.5000, 0.5000, 0.5000)  2 Sn 3.40, 8 Er 3.43
Sn (0.5000, 0.5000, 0.0000)  8 Er 3.29, 2 Gd 3.40
Er (0.0000, 0.0000, 0.7710)  1 Er 3.11, 4 Sn 3.29, 4 Gd 3.43
Er (0.0000, 0.0000, 0.2290)  1 Er 3.11, 4 Sn 3.29, 4 Gd 3.43

Calculated values
- density of states at the Fermi level (states/eV/f.u.) = 5.140
- crystal system = tetragonal
- energy relative to the elements (kJ/mol of formula units) = -116
- offset from the most stable computed form (eV per atom) = 0.122



[2]
Entry from Alexandria via LeMat-Bulk: a relaxed structure of Ni2Pd3Pt3 (PBE).

Lattice parameters (Å, degrees): 3.9187 3.9001 8.0689 103.99 104.05 90.00
Closest atoms and distances in Å follow each position.
Fractional positions:
Ni (0.7499, 0.7499, 0.4997)  4 Pt 2.61-2.62, 4 Pd 2.62-2.63, 4 Ni 2.76
Ni (0.2501, 0.2501, 0.5003)  4 Pt 2.61-2.62, 4 Pd 2.62-2.63, 4 Ni 2.76
Pd (0.8654, 0.3656, 0.7308)  4 Ni 2.62-2.63, 6 Pt 2.76-2.83, 2 Pd 2.82
Pd (0.1346, 0.6344, 0.2692)  4 Ni 2.62-2.63, 6 Pt 2.76-2.83, 2 Pd 2.82
Pd (0.0000, 0.0000, 0.0000)  8 Pt 2.76-2.84, 4 Pd 2.82
Pt (0.3647, 0.8649, 0.7294)  4 Ni 2.61-2.62, 6 Pd 2.76-2.84, 2 Pt 2.83
Pt (0.5000, 0.5000, 0.0000)  8 Pd 2.76-2.83, 4 Pt 2.83
Pt (0.6353, 0.1351, 0.2706)  4 Ni 2.61-2.62, 6 Pd 2.76-2.84, 2 Pt 2.83

Calculated values
- density of states at the Fermi level (states/eV/f.u.) = 12.213
- crystal system = orthorhombic
- energy relative to the elements (kJ/mol of formula units) = -32
- offset from the most stable computed form (eV per atom) = 0.000



[3]
Entry from Alexandria via LeMat-Bulk: a relaxed structure of YBr (PBE).

Lattice parameters (Å, degrees): 3.7463 3.7461 8.9430 90.00 90.01 90.00
Closest atoms and distances in Å follow each position.
Fractional positions:
Y (0.7501, 0.7500, 0.6350)  4 Br 3.06
Y (0.2499, 0.2500, 0.3650)  4 Br 3.06
Br (0.7499, 0.7500, 0.1936)  4 Y 3.06
Br (0.2501, 0.2500, 0.8064)  4 Y 3.06

Calculated values
- density of states at the Fermi level (states/eV/f.u.) = 0.501
- crystal system = tetragonal
- formation energy from raw total energies (meV per atom) = -1172



[4]
Entry from Alexandria via LeMat-Bulk: a relaxed structure of LiPrAg (PBE).

Lattice parameters (Å, degrees): 4.9438 4.9438 4.9438 60.00 60.00 60.00
Closest atoms and distances in Å follow each position.
Fractional positions:
Pr (0.5000, 0.5000, 0.5000)  4 Ag 3.03
Ag (0.2500, 0.2500, 0.2500)  4 Li 3.03, 4 Pr 3.03
Li (0.0000, 0.0000, 0.0000)  4 Ag 3.03

Calculated values
- density of states at the Fermi level (states/eV/f.u.) = 2.571
- crystal system = cubic
- energy relative to the elements (kJ/mol of formula units) = 10
- offset from the most stable computed form (eV per atom) = 0.179